[1]
# PBE BiH2N, relaxed
data_BiH2N
_chemical_formula_sum 'Bi4 H8 N4'
_cell_length_a 5.404
_cell_length_b 5.404
_cell_length_c 5.404
_cell_angle_alpha 90.00
_cell_angle_beta 90.00
_cell_angle_gamma 90.00
_symmetry_space_group_name_H-M 'F m -3 m'
_symmetry_Int_Tables_number 225
_symmetry_space_group_name_Hall '-F 4 2 3'
loop_
_atom_site_label
_atom_site_type_symbol
_atom_site_fract_x
_atom_site_fract_y
_atom_site_fract_z
Bi1 Bi 0.000 0.000 0.000
H1 H 0.250 0.250 0.250
N1 N 0.000 0.000 0.500
# Raw total energy = -55.4 eV per cell
# Magnetic moment = 0.00 μB per atom
# Distance to the lowest polymorph of the same formula = 606 meV/atom

=====

[2]
# PBE Zr2Zn, relaxed
data_Zr2Zn
_chemical_formula_sum 'Zr8 Zn4'
_cell_length_a 3.180
_cell_length_b 15.249
_cell_length_c 5.246
_cell_angle_alpha 90.00
_cell_angle_beta 90.00
_cell_angle_gamma 90.00
_symmetry_space_group_name_H-M 'C m c m'
_symmetry_Int_Tables_number 63
_symmetry_space_group_name_Hall '-C 2c 2'
loop_
_atom_site_label
_atom_site_type_symbol
_atom_site_fract_x
_atom_site_fract_y
_atom_site_fract_z
Zr1 Zr 0.000 0.042 0.250
Zr2 Zr 0.000 0.365 0.250
Zn1 Zn 0.000 0.293 0.750
# DFT formation energy = -0.05 eV per formula unit
# Raw total energy = -73.7 eV per cell
# Magnetic moment = 0.00 μB per atom

=====

[3]
# PBE AcSN, relaxed
data_AcSN
_chemical_formula_sum 'Ac4 S4 N4'
_cell_length_a 3.795
_cell_length_b 3.795
_cell_length_c 26.914
_cell_angle_alpha 90.00
_cell_angle_beta 90.00
_cell_angle_gamma 90.00
_symmetry_space_group_name_H-M 'I 4/m m m'
_symmetry_Int_Tables_number 139
_symmetry_space_group_name_Hall '-I 4 2'
loop_
_atom_site_label
_atom_site_type_symbol
_atom_site_fract_x
_atom_site_fract_y
_atom_site_fract_z
Ac1 Ac 0.000 0.000 0.138
S1 S 0.000 0.000 0.312
N1 N 0.000 0.000 0.380
# Raw total energy = -76.4 eV per cell
# Magnetic moment = 0.00 μB per atom
# E_form (uncorrected) = -0.85 eV per atom
# Distance to the lowest polymorph of the same formula = 563 meV/atom

=====

Question: What is the magnetic moment in the first record?
Answer: 0.00 μB per atom

=====

Question: Which value of magnetic moment does entry 2 give?
Answer: 0.00 μB per atom

=====

Question: Which of these has the highest raw total energy?
Answer: BiH2N

=====

Question: magnetic moment of number 1 (BiH2N)?
Answer: 0.00 μB per atom